Record 1
{
  "formula": "CeTh5Au4",
  "functional": "PBE",
  "state": "optimized geometry",
  "m_tot_mub_per_fu": 0.000,
  "delta_e_f_kj_per_mol_fu": -424,
  "spacegroup": "No. 123",
  "lattice_angstrom": [[3.6789, 0.0000, 0.0000], [0.0000, 3.6789, 0.0000], [0.0000, 0.0000, 19.7369]],
  "species": ["Ce", "Th", "Th", "Th", "Th", "Th", "Au", "Au", "Au", "Au"],
  "fractional_positions": [[0.0000, 0.0000, 0.0000], [0.5000, 0.5000, 0.1154], [0.5000, 0.5000, 0.3088], [0.5000, 0.5000, 0.5000], [0.5000, 0.5000, 0.6912], [0.5000, 0.5000, 0.8846], [0.0000, 0.0000, 0.2050], [0.0000, 0.0000, 0.4051], [0.0000, 0.0000, 0.5949], [0.0000, 0.0000, 0.7950]]
}



Record 2
{
  "formula": "CeTh2Au4",
  "functional": "PBE",
  "state": "optimized geometry",
  "m_tot_mub_per_fu": 0.880,
  "delta_e_f_kj_per_mol_fu": -325,
  "spacegroup": "No. 139",
  "lattice_angstrom": [[-2.6901, 2.6901, 6.4930], [2.6901, -2.6901, 6.4930], [2.6901, 2.6901, -6.4930]],
  "species": ["Ce", "Th", "Th", "Au", "Au", "Au", "Au"],
  "fractional_positions": [[0.0000, 0.0000, 0.0000], [0.2869, 0.2869, 0.0000], [0.7131, 0.7131, 0.0000], [0.1146, 0.6146, 0.5000], [0.3854, 0.8854, 0.5000], [0.6146, 0.1146, 0.5000], [0.8854, 0.3854, 0.5000]]
}



Record 3
{
  "formula": "CeTh2Au2",
  "functional": "PBE",
  "state": "optimized geometry",
  "m_tot_mub_per_fu": 0.627,
  "polymorph_energy_mev_per_atom": 0,
  "delta_e_f_kj_per_mol_fu": -166,
  "spacegroup": "No. 11",
  "lattice_angstrom": [[6.3003, 0.0000, 0.0000], [0.0000, 3.8239, 0.0000], [-3.0184, 0.0000, 11.7674]],
  "species": ["Ce", "Ce", "Th", "Th", "Th", "Th", "Au", "Au", "Au", "Au"],
  "fractional_positions": [[0.2411, 0.2500, 0.0376], [0.7589, 0.7500, 0.9624], [0.0784, 0.7500, 0.2532], [0.4135, 0.7500, 0.6261], [0.5865, 0.2500, 0.3739], [0.9216, 0.2500, 0.7468], [0.1264, 0.2500, 0.4513], [0.4235, 0.2500, 0.8251], [0.5765, 0.7500, 0.1749], [0.8736, 0.7500, 0.5487]]
}



Record 4
{
  "formula": "CeTh2Au2",
  "functional": "PBE",
  "state": "optimized geometry",
  "m_tot_mub_per_fu": 0.727,
  "polymorph_energy_mev_per_atom": 56,
  "delta_e_f_kj_per_mol_fu": -139,
  "spacegroup": "No. 12",
  "lattice_angstrom": [[4.5830, -2.6490, 0.0000], [4.5830, 2.6490, 0.0000], [-0.0012, 0.0000, 6.0422]],
  "species": ["Ce", "Th", "Th", "Au", "Au"],
  "fractional_positions": [[0.0000, 0.0000, 0.0000], [0.3331, 0.3331, 0.2965], [0.6669, 0.6669, 0.7035], [0.3334, 0.3334, 0.7870], [0.6666, 0.6666, 0.2130]]
}



Record 5
{
  "formula": "CeTh2Au6",
  "functional": "PBE",
  "state": "optimized geometry",
  "m_tot_mub_per_fu": 0.705,
  "delta_e_f_kj_per_mol_fu": -608,
  "spacegroup": "No. 191",
  "lattice_angstrom": [[8.3316, 0.0000, 0.0000], [-4.1658, 7.2154, 0.0000], [0.0000, 0.0000, 3.4458]],
  "species": ["Ce", "Th", "Th", "Au", "Au", "Au", "Au", "Au", "Au"],
  "fractional_positions": [[0.0000, 0.0000, 0.0000], [0.3333, 0.6667, 0.0000], [0.6667, 0.3333, 0.0000], [0.0000, 0.3328, 0.5000], [0.0000, 0.6672, 0.5000], [0.3328, 0.0000, 0.5000], [0.3328, 0.3328, 0.5000], [0.6672, 0.0000, 0.5000], [0.6672, 0.6672, 0.5000]]
}



Record 6
{
  "formula": "CeThAu4",
  "functional": "PBE",
  "state": "optimized geometry",
  "m_tot_mub_per_fu": 0.675,
  "polymorph_energy_mev_per_atom": 0,
  "delta_e_f_kj_per_mol_fu": -439,
  "spacegroup": "No. 47",
  "lattice_angstrom": [[3.4815, 0.0000, 0.0000], [0.0000, 4.8472, 0.0000], [0.0000, 0.0000, 8.2227]],
  "species": ["Ce", "Th", "Au", "Au", "Au", "Au"],
  "fractional_positions": [[0.0000, 0.0000, 0.0000], [0.0000, 0.5000, 0.5000], [0.5000, 0.0000, 0.3315], [0.5000, 0.0000, 0.6685], [0.5000, 0.5000, 0.1676], [0.5000, 0.5000, 0.8324]]
}



Record 7
{
  "formula": "Ce7ThAu2",
  "functional": "PBE",
  "state": "optimized geometry",
  "m_tot_mub_per_fu": 1.010,
  "delta_e_f_kj_per_mol_fu": 182,
  "spacegroup": "No. 65",
  "lattice_angstrom": [[4.2719, -6.9636, 0.0000], [4.2719, 6.9636, 0.0000], [0.0000, 0.0000, 5.6418]],
  "species": ["Ce", "Ce", "Ce", "Ce", "Ce", "Ce", "Ce", "Th", "Au", "Au"],
  "fractional_positions": [[0.0000, 0.0000, 0.0000], [0.2357, 0.4345, 0.0000], [0.2419, 0.7581, 0.5000], [0.4345, 0.2357, 0.0000], [0.5655, 0.7643, 0.0000], [0.7581, 0.2419, 0.5000], [0.7643, 0.5655, 0.0000], [0.5000, 0.5000, 0.5000], [0.2040, 0.7960, 0.0000], [0.7960, 0.2040, 0.0000]]
}



Record 8
{
  "formula": "Ce2ThAu8",
  "functional": "PBE",
  "state": "optimized geometry",
  "m_tot_mub_per_fu": 1.559,
  "delta_e_f_kj_per_mol_fu": -626,
  "spacegroup": "No. 12",
  "lattice_angstrom": [[4.0017, -7.6129, 0.0000], [4.0017, 7.6129, 0.0000], [-3.2950, 0.0000, 4.0433]],
  "species": ["Ce", "Ce", "Th", "Au", "Au", "Au", "Au", "Au", "Au", "Au", "Au"],
  "fractional_positions": [[0.1853, 0.8147, 0.0000], [0.8147, 0.1853, 0.0000], [0.5000, 0.5000, 0.5000], [0.0390, 0.0390, 0.7891], [0.1464, 0.4070, 0.7463], [0.2979, 0.7021, 0.5000], [0.4070, 0.1464, 0.7463], [0.5930, 0.8536, 0.2537], [0.7021, 0.2979, 0.5000], [0.8536, 0.5930, 0.2537], [0.9610, 0.9610, 0.2109]]
}



Number 1: theoretical density 12.98 g/cm3. Number 2: theoretical density 12.30 g/cm3. Number 3: theoretical density 11.69 g/cm3. Number 4: theoretical density 11.30 g/cm3. Number 5: theoretical density 14.32 g/cm3. Number 6: theoretical density 13.88 g/cm3. Number 7: theoretical density 7.95 g/cm3. Number 8: theoretical density 14.07 g/cm3.